#one
Compound: SmTiGe
Source: Alexandria
Functional: meta-GGA SCAN
Structure: PBEsol geometry

a b c (Å): 4.0379 4.0379 8.3026
angles (deg): 104.07 104.07 90.00
With the nearest neighbours (Å) after each atom.
Sites, in units of the cell vectors:
Sm  0.6747  0.6747  0.3494  5 Ge 2.99-3.22
Sm  0.3253  0.3253  0.6506  5 Ge 2.99-3.22
Ge  0.8813  0.8813  0.7626  4 Ti 2.74, 4 Sm 2.99
Ge  0.1187  0.1187  0.2374  4 Ti 2.74, 4 Sm 2.99
Ti  0.5000  0.0000  0.0000  4 Ge 2.74, 4 Ti 2.86
Ti  0.0000  0.5000  0.0000  4 Ge 2.74, 4 Ti 2.86

Spin magnetization: 3.88 μB per cell



#two
Compound: SmTiGe
Source: Alexandria
Functional: meta-GGA SCAN
Structure: PBEsol geometry

a b c (Å): 4.0527 4.0527 7.7172
angles (deg): 90.00 90.00 90.00
With the nearest neighbours (Å) after each atom.
Sites, in units of the cell vectors:
Sm  0.5000  0.0000  0.6538  5 Ge 3.00-3.25, 4 Ti 3.35
Sm  0.0000  0.5000  0.3462  5 Ge 3.00-3.25, 4 Ti 3.35
Ti  0.0000  0.0000  0.0000  4 Ge 2.71, 4 Ti 2.87
Ti  0.5000  0.5000  0.0000  4 Ge 2.71, 4 Ti 2.87
Ge  0.0000  0.5000  0.7668  4 Ti 2.71, 4 Sm 3.00
Ge  0.5000  0.0000  0.2332  4 Ti 2.71, 4 Sm 3.00

Spin magnetization: 0.74 μB per cell



Most stable structure - #one; separation to the second - 2.0 kJ/mol of atoms.



#one
Compound: Ta5Ge3
Source: Alexandria
Functional: meta-GGA SCAN
Structure: PBEsol geometry

a b c (Å): 6.6011 7.5858 6.6011
angles (deg): 64.21 90.00 115.79
With the nearest neighbours (Å) after each atom.
Sites, in units of the cell vectors:
Ta  0.3145  0.3080  0.1855  5 Ge 2.64-2.73, 1 Ta 2.84
Ta  0.5000  0.0000  0.5000  4 Ge 2.56
Ta  0.6855  0.6920  0.8145  5 Ge 2.64-2.73, 1 Ta 2.84
Ta  0.4935  0.3080  0.6855  5 Ge 2.64-2.73, 1 Ta 2.84
Ta  0.1855  0.6920  0.9935  5 Ge 2.64-2.73, 1 Ta 2.84
Ta  0.0065  0.6920  0.4935  5 Ge 2.64-2.73, 1 Ta 2.84
Ta  0.5065  0.6920  0.3145  5 Ge 2.64-2.73, 1 Ta 2.84
Ta  0.9935  0.3080  0.5065  5 Ge 2.64-2.73, 1 Ta 2.84
Ta  0.8145  0.3080  0.0065  5 Ge 2.64-2.73, 1 Ta 2.84
Ta  0.0000  0.0000  0.0000  4 Ge 2.56
Ge  0.2500  0.5000  0.7500  10 Ta 2.73-2.99
Ge  0.3637  0.0000  0.1363  1 Ge 2.54, 8 Ta 2.56-2.69
Ge  0.7500  0.5000  0.2500  10 Ta 2.73-2.99
Ge  0.6363  0.0000  0.8637  1 Ge 2.54, 8 Ta 2.56-2.69
Ge  0.1363  0.0000  0.6363  1 Ge 2.54, 8 Ta 2.56-2.69
Ge  0.8637  0.0000  0.3637  1 Ge 2.54, 8 Ta 2.56-2.69

Spin magnetization: 0.00 μB per cell



#two
Compound: Ta5Ge3
Source: Alexandria
Functional: meta-GGA SCAN
Structure: PBEsol geometry

a b c (Å): 5.2798 7.5711 7.5711
angles (deg): 120.00 90.00 90.00
With the nearest neighbours (Å) after each atom.
Sites, in units of the cell vectors:
Ge  0.7500  0.6036  0.0000  9 Ta 2.62-2.90
Ge  0.2500  0.6036  0.6036  9 Ta 2.62-2.90
Ge  0.2500  0.0000  0.3964  9 Ta 2.62-2.90
Ge  0.7500  0.0000  0.6036  9 Ta 2.62-2.90
Ge  0.2500  0.3964  0.0000  9 Ta 2.62-2.90
Ge  0.7500  0.3964  0.3964  9 Ta 2.62-2.90
Ta  0.5000  0.3333  0.6667  2 Ta 2.64, 6 Ge 2.67
Ta  0.0000  0.6667  0.3333  2 Ta 2.64, 6 Ge 2.67
Ta  0.2500  0.2393  0.2393  5 Ge 2.62-2.90
Ta  0.5000  0.6667  0.3333  2 Ta 2.64, 6 Ge 2.67
Ta  0.2500  0.0000  0.7607  5 Ge 2.62-2.90
Ta  0.7500  0.0000  0.2393  5 Ge 2.62-2.90
Ta  0.7500  0.2393  0.0000  5 Ge 2.62-2.90
Ta  0.7500  0.7607  0.7607  5 Ge 2.62-2.90
Ta  0.0000  0.3333  0.6667  2 Ta 2.64, 6 Ge 2.67
Ta  0.2500  0.7607  0.0000  5 Ge 2.62-2.90

Spin magnetization: 0.00 μB per cell



Most stable structure - #one; separation to the second - 10.2 kJ/mol of atoms.



#one
Compound: TiZnGe3
Source: Alexandria
Functional: meta-GGA SCAN
Structure: PBEsol geometry

a b c (Å): 4.6873 4.6873 4.6873
angles (deg): 90.00 90.00 90.00
With the nearest neighbours (Å) after each atom.
Sites, in units of the cell vectors:
Ge  0.0000  0.5000  0.0000  2 Zn 2.34
Ge  0.5000  0.0000  0.0000  2 Zn 2.34
Ge  0.0000  0.0000  0.5000  2 Zn 2.34
Ti  0.5000  0.5000  0.5000  12 Ge 3.31
Zn  0.0000  0.0000  0.0000  6 Ge 2.34

Spin magnetization: 2.03 μB per cell



#two
Compound: TiZnGe3
Source: Alexandria
Functional: meta-GGA SCAN
Structure: PBEsol geometry

a b c (Å): 4.8498 4.8498 4.8498
angles (deg): 90.00 90.00 90.00
With the nearest neighbours (Å) after each atom.
Sites, in units of the cell vectors:
Zn  0.5000  0.5000  0.5000  12 Ge 3.43
Ge  0.0000  0.0000  0.5000  2 Ti 2.42
Ge  0.0000  0.5000  0.0000  2 Ti 2.42
Ge  0.5000  0.0000  0.0000  2 Ti 2.42
Ti  0.0000  0.0000  0.0000  6 Ge 2.42

Spin magnetization: 0.00 μB per cell



Most stable structure - #two; separation to the second - 23.8 kJ/mol of atoms.



#one
Compound: H
Source: Alexandria
Functional: meta-GGA SCAN
Structure: PBEsol geometry

a b c (Å): 3.3084 3.3084 5.3983
angles (deg): 90.00 90.00 120.00
With the nearest neighbours (Å) after each atom.
Sites, in units of the cell vectors:
H  0.3333  0.6667  0.2500  12 H 3.31
H  0.6667  0.3333  0.7500  12 H 3.31

Spin magnetization: 2.00 μB per cell



#two
Compound: H
Source: Alexandria
Functional: meta-GGA SCAN
Structure: PBEsol geometry

a b c (Å): 5.6743 5.6743 2.9845
angles (deg): 90.00 90.00 148.22
With the nearest neighbours (Å) after each atom.
Sites, in units of the cell vectors:
H  0.6328  0.3672  0.0000  7 H 2.90-3.11
H  0.3672  0.6328  0.0000  7 H 2.90-3.11

Spin magnetization: 2.00 μB per cell



#three
Compound: H
Source: Alexandria
Functional: meta-GGA SCAN
Structure: PBEsol geometry

a b c (Å): 3.0707 3.0973 3.0973
angles (deg): 90.00 90.00 90.00
With the nearest neighbours (Å) after each atom.
Sites, in units of the cell vectors:
H  0.5000  0.0000  0.0000  6 H 3.07-3.10

Spin magnetization: 1.00 μB per cell



Most stable structure - #one; separation to the second - 1.0 kJ/mol of atoms.



#one
Compound: H
Source: Alexandria
Functional: meta-GGA SCAN
Structure: PBEsol geometry

a b c (Å): 2.9018 3.0704 3.0704
angles (deg): 120.00 90.00 90.00
With the nearest neighbours (Å) after each atom.
Sites, in units of the cell vectors:
H  0.5000  0.0000  0.0000  8 H 2.90-3.07

Spin magnetization: 1.00 μB per cell



#two
Compound: H
Source: Alexandria
Functional: meta-GGA SCAN
Structure: PBEsol geometry

a b c (Å): 5.5279 6.1677 5.1310
angles (deg): 90.00 90.00 90.00
With the nearest neighbours (Å) after each atom.
Sites, in units of the cell vectors:
H  0.6570  0.3748  0.0021  12 H 3.08-3.18
H  0.1570  0.1252  0.9979  12 H 3.08-3.18
H  0.3430  0.8748  0.4979  12 H 3.08-3.18
H  0.6570  0.8751  0.9978  12 H 3.08-3.18
H  0.8430  0.1249  0.4978  12 H 3.08-3.18
H  0.1570  0.6249  0.0022  12 H 3.08-3.18
H  0.8430  0.6252  0.5021  12 H 3.08-3.18
H  0.3430  0.3751  0.5022  12 H 3.08-3.18

Spin magnetization: 8.00 μB per cell



#three
Compound: H
Source: Alexandria
Functional: meta-GGA SCAN
Structure: PBEsol geometry

a b c (Å): 3.3041 3.3041 3.3041
angles (deg): 60.00 60.00 60.00
With the nearest neighbours (Å) after each atom.
Sites, in units of the cell vectors:
H  0.0000  0.0000  0.0000  12 H 3.30

Spin magnetization: 1.00 μB per cell



#four
Compound: H
Source: Alexandria
Functional: meta-GGA SCAN
Structure: PBEsol geometry

a b c (Å): 2.0831 2.0831 2.0831
angles (deg): 60.00 60.00 60.00
With the nearest neighbours (Å) after each atom.
Sites, in units of the cell vectors:
H  0.7500  0.7500  0.7500  4 H 1.28
H  0.5000  0.5000  0.5000  4 H 1.28

Spin magnetization: 0.00 μB per cell



Most stable structure - #four; separation to the second - 147.4 kJ/mol of atoms.



#one
Compound: H
Source: Alexandria
Functional: meta-GGA SCAN
Structure: PBEsol geometry

a b c (Å): 5.9427 4.2439 4.2439
angles (deg): 60.65 45.56 45.56
With the nearest neighbours (Å) after each atom.
Sites, in units of the cell vectors:
H  0.2499  0.0000  0.0000  6 H 2.97-3.03
H  0.7501  0.0000  0.0000  6 H 2.97-3.03

Spin magnetization: 2.00 μB per cell



#two
Compound: H
Source: Alexandria
Functional: meta-GGA SCAN
Structure: PBEsol geometry

a b c (Å): 8.0237 8.9526 10.4255
angles (deg): 90.00 90.00 99.84
With the nearest neighbours (Å) after each atom.
Sites, in units of the cell vectors:
H  0.2144  0.7342  0.9247  11 H 3.06-3.42
H  0.2916  0.7765  0.6365  7 H 3.03-3.27
H  0.5581  0.9971  0.8443  9 H 2.92-3.24
H  0.7084  0.2235  0.1365  7 H 3.03-3.27
H  0.6222  0.3377  0.8637  9 H 3.01-3.22
H  0.4211  0.3244  0.3247  9 H 2.92-3.26
H  0.8727  0.1700  0.7019  9 H 3.01-3.19
H  0.9777  0.6791  0.4627  10 H 3.03-3.27
H  0.4717  0.1807  0.6007  10 H 2.99-3.32
H  0.0989  0.0256  0.5006  10 H 3.05-3.25
H  0.9428  0.5102  0.7232  9 H 2.90-3.22
H  0.1511  0.3838  0.5053  8 H 2.95-3.22
H  0.5789  0.6756  0.8247  9 H 2.92-3.26
H  0.1273  0.8300  0.2019  9 H 3.01-3.19
H  0.0720  0.1691  0.2376  10 H 2.90-3.24
H  0.5283  0.8193  0.1007  10 H 2.99-3.32
H  0.0572  0.4898  0.2232  9 H 2.90-3.22
H  0.0223  0.3209  0.9627  10 H 3.03-3.27
H  0.6560  0.8873  0.5618  8 H 2.96-3.25
H  0.7948  0.9175  0.2986  9 H 2.95-3.27
H  0.6054  0.5232  0.5634  10 H 3.07-3.27
H  0.9011  0.9744  0.0006  10 H 3.05-3.25
H  0.2052  0.0825  0.7986  9 H 2.95-3.27
H  0.3946  0.4768  0.0634  10 H 3.07-3.27
H  0.2943  0.4295  0.7663  8 H 2.95-3.27
H  0.3440  0.1127  0.0618  8 H 2.96-3.25
H  0.7856  0.2658  0.4247  11 H 3.06-3.42
H  0.8489  0.6162  0.0053  8 H 2.95-3.22
H  0.3778  0.6623  0.3637  9 H 3.01-3.22
H  0.4419  0.0029  0.3443  9 H 2.92-3.24
H  0.7057  0.5705  0.2663  8 H 2.95-3.27
H  0.9280  0.8309  0.7376  10 H 2.90-3.24

Spin magnetization: 32.00 μB per cell



#three
Compound: H
Source: Alexandria
Functional: meta-GGA SCAN
Structure: PBEsol geometry

a b c (Å): 3.3121 3.3121 3.3121
angles (deg): 109.47 109.47 109.47
With the nearest neighbours (Å) after each atom.
Sites, in units of the cell vectors:
H  0.0000  0.0000  0.0000  8 H 3.31

Spin magnetization: 1.00 μB per cell



Most stable structure - #three; separation to the second - 1.3 kJ/mol of atoms.



#one
Compound: H
Source: Alexandria
Functional: meta-GGA SCAN
Structure: PBEsol geometry

a b c (Å): 6.1749 5.7684 10.4049
angles (deg): 90.00 90.00 90.00
With the nearest neighbours (Å) after each atom.
Sites, in units of the cell vectors:
H  0.6215  0.9464  0.2500  12 H 3.09-3.29
H  0.6216  0.5523  0.7500  12 H 3.09-3.29
H  0.8700  0.7524  0.5004  12 H 3.09-3.33
H  0.3784  0.4477  0.2500  12 H 3.09-3.29
H  0.1300  0.2476  0.0004  12 H 3.09-3.33
H  0.8785  0.4464  0.2500  12 H 3.09-3.29
H  0.6300  0.2524  0.5004  12 H 3.09-3.33
H  0.1216  0.9477  0.2500  12 H 3.09-3.29
H  0.3785  0.0536  0.7500  12 H 3.09-3.29
H  0.8700  0.7524  0.9996  12 H 3.09-3.33
H  0.8784  0.0523  0.7500  12 H 3.09-3.29
H  0.1300  0.2476  0.4996  12 H 3.09-3.33
H  0.1215  0.5536  0.7500  12 H 3.09-3.29
H  0.3700  0.7476  0.4996  12 H 3.09-3.33
H  0.6300  0.2524  0.9996  12 H 3.09-3.33
H  0.3700  0.7476  0.0004  12 H 3.09-3.33

Spin magnetization: 16.00 μB per cell



#two
Compound: H
Source: Alexandria
Functional: meta-GGA SCAN
Structure: PBEsol geometry

a b c (Å): 4.3168 4.3178 5.3082
angles (deg): 90.00 90.00 87.71
With the nearest neighbours (Å) after each atom.
Sites, in units of the cell vectors:
H  0.3744  0.3744  0.2502  8 H 2.99-3.11
H  0.1256  0.1256  0.7502  8 H 2.99-3.11
H  0.8744  0.8744  0.2498  8 H 2.99-3.11
H  0.6256  0.6256  0.7498  8 H 2.99-3.11

Spin magnetization: 4.00 μB per cell



Most stable structure - #one; separation to the second - 0.8 kJ/mol of atoms.



#one
Compound: HfHg3H
Source: Alexandria
Functional: meta-GGA SCAN
Structure: PBEsol geometry

a b c (Å): 5.4963 5.4963 5.4963
angles (deg): 90.00 90.00 90.00
With the nearest neighbours (Å) after each atom.
Sites, in units of the cell vectors:
H  0.5000  0.5000  0.5000  12 Hg 3.89
Hg  0.0000  0.0000  0.5000  2 Hf 2.75
Hg  0.0000  0.5000  0.0000  2 Hf 2.75
Hg  0.5000  0.0000  0.0000  2 Hf 2.75
Hf  0.0000  0.0000  0.0000  6 Hg 2.75

Spin magnetization: 0.67 μB per cell



#two
Compound: HfHg3H
Source: Alexandria
Functional: meta-GGA SCAN
Structure: PBEsol geometry

a b c (Å): 4.4086 4.4086 4.4086
angles (deg): 90.00 90.00 90.00
With the nearest neighbours (Å) after each atom.
Sites, in units of the cell vectors:
H  0.0000  0.0000  0.0000  6 Hg 2.20
Hg  0.0000  0.5000  0.0000  2 H 2.20
Hg  0.0000  0.0000  0.5000  2 H 2.20
Hg  0.5000  0.0000  0.0000  2 H 2.20
Hf  0.5000  0.5000  0.5000  12 Hg 3.12

Spin magnetization: 0.00 μB per cell



Most stable structure - #two; separation to the second - 45.4 kJ/mol of atoms.